An optimized crystal structure of NaSrNb, computed with GGA-PBE.

Unit cell a=5.7787 b=5.7787 c=3.1114 alpha=90.00 beta=90.00 gamma=120.00
With the nearest neighbours (Å) after each atom.
Fractional positions:
Na (0.0000, 0.0000, 0.0000)  2 Na 3.11
Sr (0.3333, 0.6667, 0.5000)  2 Sr 3.11, 3 Nb 3.34
Nb (0.6667, 0.3333, 0.5000)  2 Nb 3.11, 3 Sr 3.34

Properties
Formation energy = 1.04 eV/atom
Raw total energy = -3.3126 eV/atom
Crystal system = hexagonal

---

An optimized crystal structure of NaSrNb2, computed with GGA-PBE.

Unit cell a=5.1626 b=5.1626 c=5.1626 alpha=60.00 beta=60.00 gamma=60.00
With the nearest neighbours (Å) after each atom.
Fractional positions:
Na (0.0000, 0.0000, 0.0000)  8 Nb 3.16
Sr (0.5000, 0.5000, 0.5000)  8 Nb 3.16
Nb (0.2500, 0.2500, 0.2500)  4 Na 3.16, 4 Sr 3.16
Nb (0.7500, 0.7500, 0.7500)  4 Sr 3.16, 4 Na 3.16

Properties
Formation energy = 1.56 eV/atom
Raw total energy = -4.2273 eV/atom
Crystal system = cubic

---

An optimized crystal structure of NaSrNb, computed with GGA-PBE.

Unit cell a=4.4867 b=4.4867 c=13.3292 alpha=90.27 beta=90.27 gamma=61.07
With the nearest neighbours (Å) after each atom.
Fractional positions:
Na (0.1681, 0.1681, 0.4069)  3 Na 3.60
Na (0.8319, 0.8319, 0.5931)  3 Na 3.60
Sr (0.4979, 0.4979, 0.8316)  6 Nb 3.43-3.45
Sr (0.5021, 0.5021, 0.1684)  6 Nb 3.43-3.45
Nb (0.1617, 0.1617, 0.0003)  3 Nb 2.50-2.66
Nb (0.8383, 0.8383, 0.9997)  3 Nb 2.50-2.66

Properties
Formation energy = 0.47 eV/atom
Raw total energy = -3.8854 eV/atom
Crystal system = monoclinic

---

An optimized crystal structure of NaSrNb2, computed with GGA-PBE.

Unit cell a=6.7905 b=6.7905 c=6.7905 alpha=98.78 beta=98.78 gamma=134.02
With the nearest neighbours (Å) after each atom.
Fractional positions:
Na (0.0000, 0.0000, 0.0000)  2 Sr 2.65
Na (0.7500, 0.2500, 0.5000)  2 Sr 2.65
Sr (0.2500, 0.7500, 0.5000)  2 Na 2.65
Sr (0.5000, 0.5000, 0.0000)  2 Na 2.65
Nb (0.1059, 0.6250, 0.9809)  2 Nb 2.67
Nb (0.3750, 0.3559, 0.4809)  2 Nb 2.67
Nb (0.6441, 0.1250, 0.0191)  2 Nb 2.67
Nb (0.8750, 0.8941, 0.5191)  2 Nb 2.67

Properties
Formation energy = 1.39 eV/atom
Raw total energy = -4.3927 eV/atom
Crystal system = tetragonal

---

An optimized crystal structure of Na3SrNb, computed with GGA-PBE.

Unit cell a=5.9447 b=5.9447 c=5.9447 alpha=90.00 beta=90.00 gamma=90.00
With the nearest neighbours (Å) after each atom.
Fractional positions:
Na (0.0000, 0.0000, 0.5000)  2 Nb 2.97
Na (0.0000, 0.5000, 0.0000)  2 Nb 2.97
Na (0.5000, 0.0000, 0.0000)  2 Nb 2.97
Sr (0.5000, 0.5000, 0.5000)  12 Na 4.20
Nb (0.0000, 0.0000, 0.0000)  6 Na 2.97

Properties
Formation energy = 1.00 eV/atom
Raw total energy = -2.1455 eV/atom
Crystal system = cubic

---

An optimized crystal structure of NaSrNb, computed with GGA-PBE.

Unit cell a=3.4998 b=6.3802 c=9.8076 alpha=71.09 beta=79.88 gamma=74.19
With the nearest neighbours (Å) after each atom.
Fractional positions:
Na (0.0000, 0.0000, 0.0000)  5 Nb 3.43-3.56, 2 Na 3.50, 4 Sr 3.61-3.77
Na (0.3453, 0.8762, 0.4248)  2 Na 3.50, 2 Nb 3.56, 3 Sr 3.70-3.84
Sr (0.0293, 0.3127, 0.6197)  2 Sr 3.50, 5 Nb 3.50-3.61, 4 Na 3.61-3.84
Sr (0.6813, 0.4495, 0.1879)  2 Nb 3.40, 2 Sr 3.50, 3 Na 3.72-3.77
Nb (0.3052, 0.5064, 0.8774)  2 Nb 2.54
Nb (0.7175, 0.8003, 0.7567)  2 Nb 2.54

Properties
Formation energy = 0.58 eV/atom
Raw total energy = -3.7781 eV/atom
Crystal system = triclinic

---

An optimized crystal structure of Na3SrNb, computed with GGA-PBE.

Unit cell a=6.1297 b=6.1297 c=6.1297 alpha=90.00 beta=90.00 gamma=90.00
With the nearest neighbours (Å) after each atom.
Fractional positions:
Na (0.0000, 0.0000, 0.5000)  2 Sr 3.06
Na (0.0000, 0.5000, 0.0000)  2 Sr 3.06
Na (0.5000, 0.0000, 0.0000)  2 Sr 3.06
Sr (0.0000, 0.0000, 0.0000)  6 Na 3.06
Nb (0.5000, 0.5000, 0.5000)  12 Na 4.33

Properties
Formation energy = 1.57 eV/atom
Raw total energy = -1.5691 eV/atom
Crystal system = cubic

---

An optimized crystal structure of NaSrNb, computed with GGA-PBE.

Unit cell a=4.7448 b=6.1865 c=12.7974 alpha=90.00 beta=90.00 gamma=90.00
With the nearest neighbours (Å) after each atom.
Fractional positions:
Na (0.2483, 0.2500, 0.1869)  2 Na 2.87
Na (0.2517, 0.7500, 0.6869)  2 Na 2.87
Na (0.7483, 0.2500, 0.3131)  2 Na 2.87
Na (0.7517, 0.7500, 0.8131)  2 Na 2.87
Sr (0.2496, 0.2500, 0.5194)  3 Nb 3.38-3.46, 4 Na 3.55-3.76
Sr (0.2504, 0.7500, 0.0194)  3 Nb 3.38-3.46, 4 Na 3.55-3.76
Sr (0.7496, 0.2500, 0.9806)  3 Nb 3.38-3.46, 4 Na 3.55-3.76
Sr (0.7504, 0.7500, 0.4806)  3 Nb 3.38-3.46, 4 Na 3.55-3.76
Nb (0.2496, 0.2500, 0.7838)  2 Nb 2.52
Nb (0.2504, 0.7500, 0.2838)  2 Nb 2.52
Nb (0.7496, 0.2500, 0.7162)  2 Nb 2.52
Nb (0.7504, 0.7500, 0.2162)  2 Nb 2.52

Properties
Formation energy = 0.64 eV/atom
Raw total energy = -3.7128 eV/atom
Crystal system = orthorhombic

---

An optimized crystal structure of NaSrNb, computed with GGA-PBE.

Unit cell a=5.7749 b=5.7749 c=7.7588 alpha=90.00 beta=90.00 gamma=120.00
With the nearest neighbours (Å) after each atom.
Fractional positions:
Na (0.0000, 0.0000, 0.0000)  6 Nb 3.50, 6 Sr 3.80, 2 Na 3.88
Na (0.0000, 0.0000, 0.5000)  2 Na 3.88, 6 Sr 3.91
Sr (0.6667, 0.3333, 0.2357)  3 Nb 3.42, 1 Sr 3.66, 3 Na 3.80
Sr (0.6667, 0.3333, 0.7643)  3 Nb 3.42, 1 Sr 3.66, 3 Na 3.80
Nb (0.3333, 0.6667, 0.1385)  1 Nb 2.15
Nb (0.3333, 0.6667, 0.8615)  1 Nb 2.15

Properties
Formation energy = 0.86 eV/atom
Raw total energy = -3.4924 eV/atom
Crystal system = hexagonal

---

An optimized crystal structure of NaSrNb, computed with GGA-PBE.

Unit cell a=5.6484 b=5.6484 c=5.6484 alpha=60.00 beta=60.00 gamma=60.00
With the nearest neighbours (Å) after each atom.
Fractional positions:
Na (0.0000, 0.0000, 0.0000)  4 Sr 3.46
Sr (0.2500, 0.2500, 0.2500)  4 Nb 3.46, 4 Na 3.46
Nb (0.5000, 0.5000, 0.5000)  4 Sr 3.46

Properties
Formation energy = 1.54 eV/atom
Raw total energy = -2.8216 eV/atom
Crystal system = cubic